This record from Alexandria via LeMat-Bulk describes crystalline PuZnAgO4 at its relaxed geometry. The functional is PBE.

Unit cell a=6.1793 b=6.9128 c=9.4245 alpha=90.00 beta=90.00 gamma=90.00
With the nearest neighbours (Å) after each atom.
Space group Imma (No. 74)
Symmetry-distinct sites (fractional):
Pu: 0.0000 0.0000 0.0000 [4 per cell]  6 O 2.14-2.18
Zn: 0.2500 0.2500 0.2500 [4 per cell]  4 O 2.09
Ag: 0.0000 0.2500 0.6702 [4 per cell]  4 O 2.30-2.37
O: 0.0000 0.0501 0.2241 [8 per cell]  2 Zn 2.09, 1 Pu 2.14, 1 Ag 2.30
O: 0.2155 0.2500 0.9985 [8 per cell]  2 Pu 2.18, 1 Ag 2.37, 1 Zn 2.38

Output
Total moment (Bohr magnetons per cell): 12.00
Crystal system: orthorhombic
Total DFT energy (no corrections) (eV/cell): -201.15
ΔE_f (raw) (eV per atom): -1.714
Density (g/cm3): 7.941